{
  "formula": "Pr8Sm2Pb",
  "functional": "PBE",
  "state": "optimized geometry",
  "spacegroup": "C2/m (12)",
  "e_above_lowest_polymorph_mev_per_atom": 0,
  "e_tot_ev_per_atom": -4.753,
  "formation_energy_ev_per_fu": -0.9,
  "lattice": [[-3.7378, 3.3351, -0.9246], [-4.3543, -3.1520, 6.2332], [7.0342, 5.1744, 4.2602]],
  "species": ["Pr", "Pr", "Pr", "Pr", "Pr", "Pr", "Pr", "Pr", "Sm", "Sm", "Pb"],
  "frac_coords": [[0.5904, 0.4417, 0.1808], [0.1381, 0.1803, 0.2762], [0.8619, 0.8197, 0.7238], [0.6772, 0.9077, 0.3543], [0.3228, 0.0923, 0.6457], [0.0433, 0.7311, 0.0866], [0.4096, 0.5583, 0.8192], [0.9567, 0.2689, 0.9134], [0.7759, 0.3670, 0.5518], [0.2241, 0.6330, 0.4482], [0.5000, 0.0000, 0.0000]]
}